(1)
Below is a geometry-optimized KSe2O4 structure, with properties calculated at the PBE level. Values from VASP.

Geometry as Quantum ESPRESSO input:
```
&SYSTEM
  ibrav = 0, nat = 7, ntyp = 3
/
ATOMIC_SPECIES
K 39.10 K.upf
Se 78.96 Se.upf
O 16.00 O.upf
ATOMIC_POSITIONS crystal
K 0.0000 0.0000 0.0000
Se 0.6368 0.7545 0.3632
Se 0.3632 0.2455 0.6368
O 0.5684 0.7635 0.0323
O 0.4316 0.2365 0.9677
O 0.0323 0.2365 0.5684
O 0.9677 0.7635 0.4316
CELL_PARAMETERS angstrom
4.9426 -0.0636 0.6240
1.8462 6.2706 0.3419
-0.9246 -1.4090 4.6885
```

formation energy from raw total energies	-0.925	eV per atom



(2)
Below is a geometry-optimized TiCo2Si structure, with properties calculated at the PBE level. Values from VASP.

Geometry as Quantum ESPRESSO input:
```
&SYSTEM
  ibrav = 0, nat = 8, ntyp = 3
/
ATOMIC_SPECIES
Si 28.09 Si.upf
Co 58.93 Co.upf
Ti 47.87 Ti.upf
ATOMIC_POSITIONS crystal
Si 0.5000 0.5000 0.0000
Si 0.2500 0.7500 0.5000
Co 0.6008 0.1250 0.2500
Co 0.1492 0.6250 0.2500
Co 0.3750 0.3992 0.7500
Co 0.8750 0.8508 0.7500
Ti 0.0000 0.0000 0.0000
Ti 0.7500 0.2500 0.5000
CELL_PARAMETERS angstrom
-1.0336 -2.7072 -5.6166
3.9623 -4.6810 1.5271
-0.5390 -5.0555 -1.0199
```

formation energy from raw total energies	-0.012	eV per atom



(3)
Below is a geometry-optimized Ba5Re3 structure, with properties calculated at the PBE level. Values from VASP.

Geometry as Quantum ESPRESSO input:
```
&SYSTEM
  ibrav = 0, nat = 16, ntyp = 2
/
ATOMIC_SPECIES
Re 186.21 Re.upf
Ba 137.33 Ba.upf
ATOMIC_POSITIONS crystal
Re 0.5295 0.0000 0.2500
Re 0.4703 0.0000 0.7500
Re 0.0000 0.5296 0.2500
Re 0.4704 0.4704 0.2500
Re 0.5294 0.5295 0.7500
Re 0.0000 0.4705 0.7500
Ba 0.3333 0.6666 0.0000
Ba 0.6667 0.3334 0.5000
Ba 0.6667 0.3334 0.0000
Ba 0.3333 0.6666 0.5000
Ba 0.2617 0.0000 0.2500
Ba 0.7382 0.0000 0.7500
Ba 0.0000 0.2616 0.2500
Ba 0.7385 0.7384 0.2500
Ba 0.2616 0.2612 0.7500
Ba 0.0005 0.7388 0.7500
CELL_PARAMETERS angstrom
-7.3312 7.2670 2.7516
-0.9833 -5.3701 -9.1779
-2.9465 -3.9721 2.6398
```

calculated formation energy	1194	meV/atom
excess energy over the best structure of this formula in the dataset	0.305	eV per atom



(4)
Below is a geometry-optimized CuTcHg structure, with properties calculated at the PBE level. Values from VASP.

Geometry as Quantum ESPRESSO input:
```
&SYSTEM
  ibrav = 0, nat = 3, ntyp = 3
/
ATOMIC_SPECIES
Cu 63.55 Cu.upf
Hg 200.59 Hg.upf
Tc 98.00 Tc.upf
ATOMIC_POSITIONS crystal
Cu 0.9911 0.9912 0.0089
Hg 0.6623 0.6623 0.3377
Tc 0.3466 0.3466 0.6534
CELL_PARAMETERS angstrom
6.3808 -0.0260 0.0272
5.7778 2.7077 0.0365
0.6030 0.1235 2.7309
```

calculated formation energy	479	meV/atom
excess energy over the best structure of this formula in the dataset	0.000	eV per atom



(5)
Below is a geometry-optimized LiMg2Br structure, with properties calculated at the PBE level. Values from VASP.

Geometry as Quantum ESPRESSO input:
```
&SYSTEM
  ibrav = 0, nat = 4, ntyp = 3
/
ATOMIC_SPECIES
Br 79.90 Br.upf
Li 6.94 Li.upf
Mg 24.30 Mg.upf
ATOMIC_POSITIONS crystal
Br 0.5000 0.5000 0.2500
Li 0.5000 0.5000 0.7500
Mg 0.0000 0.0000 0.0072
Mg 0.0000 0.0000 0.4928
CELL_PARAMETERS angstrom
-1.1896 0.9443 3.0929
-2.1400 -1.9455 -1.8729
3.5607 -7.4140 3.6330
```

formation energy from raw total energies	-0.316	eV per atom
excess energy over the best structure of this formula in the dataset	0.145	eV per atom



(6)
Below is a geometry-optimized Nd2DyCd3 structure, with properties calculated at the PBE level. Values from VASP.

Geometry as Quantum ESPRESSO input:
```
&SYSTEM
  ibrav = 0, nat = 12, ntyp = 3
/
ATOMIC_SPECIES
Nd 144.24 Nd.upf
Dy 162.50 Dy.upf
Cd 112.41 Cd.upf
ATOMIC_POSITIONS crystal
Nd 0.0000 0.0000 0.5000
Nd 0.3333 0.6667 0.1698
Nd 0.6667 0.3333 0.8302
Nd 0.0000 0.0000 0.0000
Dy 0.3333 0.6667 0.6667
Dy 0.6667 0.3333 0.3333
Cd 0.3333 0.6667 0.4183
Cd 0.6667 0.3333 0.0861
Cd 0.0000 0.0000 0.7462
Cd 0.0000 0.0000 0.2538
Cd 0.3333 0.6667 0.9139
Cd 0.6667 0.3333 0.5817
CELL_PARAMETERS angstrom
-3.5498 3.8905 -1.1912
0.8361 -4.0480 -3.4743
-9.6197 -6.9918 5.8314
```

calculated formation energy	-315	meV/atom



Uncorrected energy list, top to bottom, in eV for the cell shown: -34.376, -55.157, -74.809, -13.326, -8.039, -37.540
N(E_F) list, top to bottom, in states/eV per cell: 1.23, 4.56, 15.43, 2.29, 0.79, 13.15